(1)
# TlSnPbO6

An optimized crystal structure of TlSnPbO6 (PBE-GGA, Alexandria via LeMat-Bulk).

Calculated values
- Raw formation energy: -857 meV/atom

Unit cell a=5.0249 b=5.0249 c=10.2314 alpha=90.00 beta=90.00 gamma=90.00
Sites, in units of the cell vectors:
Tl1 0.0000 0.0000 0.0000
Tl2 0.5000 0.5000 0.5000
Sn1 0.0000 0.0000 0.3337
Sn2 0.5000 0.5000 0.8337
Pb1 0.0000 0.0000 0.6662
Pb2 0.5000 0.5000 0.1662
O1 0.1845 0.1845 0.4932
O2 0.1910 0.1910 0.1783
O3 0.2042 0.2042 0.8284
O4 0.2958 0.7042 0.3284
O5 0.3090 0.6910 0.6783
O6 0.3155 0.6845 0.9932
O7 0.6845 0.3155 0.9932
O8 0.6910 0.3090 0.6783
O9 0.7042 0.2958 0.3284
O10 0.7958 0.7958 0.8284
O11 0.8090 0.8090 0.1783
O12 0.8155 0.8155 0.4932

(2)
# Tl2SnPbO4

An optimized crystal structure of Tl2SnPbO4 (PBE-GGA, Alexandria via LeMat-Bulk).

Calculated values
- Raw formation energy: -1040 meV/atom

Unit cell a=6.1586 b=6.1669 c=6.2166 alpha=61.61 beta=61.06 gamma=62.02
Sites, in units of the cell vectors:
Tl1 0.0000 0.0000 0.0000
Tl2 0.2721 0.2572 0.2082
Sn1 0.7661 0.7327 0.7830
Pb1 0.5437 0.4847 0.5060
O1 0.1266 0.6005 0.7960
O2 0.5705 0.4931 0.0800
O3 0.6350 0.0741 0.8382
O4 0.7487 0.7655 0.4583

(3)
# ZnSnPb2O5

An optimized crystal structure of ZnSnPb2O5 (PBE-GGA, Alexandria via LeMat-Bulk).

Calculated values
- Raw formation energy: -1278 meV/atom

Unit cell a=8.6242 b=8.6242 c=10.4424 alpha=90.00 beta=90.00 gamma=157.57
Sites, in units of the cell vectors:
Zn1 0.0642 0.9358 0.5000
Zn2 0.9358 0.0642 0.0000
Sn1 0.2874 0.7126 0.0615
Sn2 0.7126 0.2874 0.5615
Pb1 0.3596 0.6404 0.7186
Pb2 0.4014 0.5986 0.3408
Pb3 0.5986 0.4014 0.8408
Pb4 0.6404 0.3596 0.2186
O1 0.0065 0.9935 0.8582
O2 0.1644 0.8356 0.0631
O3 0.1866 0.8134 0.4371
O4 0.2239 0.7761 0.6913
O5 0.4113 0.5887 0.0984
O6 0.5887 0.4113 0.5984
O7 0.7761 0.2239 0.1913
O8 0.8134 0.1866 0.9371
O9 0.8356 0.1644 0.5631
O10 0.9935 0.0065 0.3582

(4)
# Sr3Pb5O12

An optimized crystal structure of Sr3Pb5O12 (PBE-GGA, Alexandria via LeMat-Bulk).

Calculated values
- Raw formation energy: -1517 meV/atom

Unit cell a=12.1330 b=12.1330 c=12.1330 alpha=109.47 beta=109.47 gamma=109.47
Sites, in units of the cell vectors:
Sr1 0.1250 0.2500 0.3750
Sr2 0.1250 0.3750 0.7500
Sr3 0.2500 0.3750 0.1250
Sr4 0.2500 0.8750 0.6250
Sr5 0.3750 0.1250 0.2500
Sr6 0.3750 0.7500 0.1250
Sr7 0.6250 0.2500 0.8750
Sr8 0.6250 0.8750 0.7500
Sr9 0.7500 0.1250 0.3750
Sr10 0.7500 0.6250 0.8750
Sr11 0.8750 0.6250 0.2500
Sr12 0.8750 0.7500 0.6250
Pb1 0.0000 0.0000 0.0000
Pb2 0.0000 0.0000 0.5000
Pb3 0.0000 0.5000 0.0000
Pb4 0.0000 0.5000 0.5000
Pb5 0.1250 0.7500 0.8750
Pb6 0.1250 0.8750 0.2500
Pb7 0.2500 0.1250 0.8750
Pb8 0.2500 0.6250 0.3750
Pb9 0.3750 0.2500 0.6250
Pb10 0.3750 0.6250 0.7500
Pb11 0.5000 0.0000 0.0000
Pb12 0.5000 0.0000 0.5000
Pb13 0.5000 0.5000 0.0000
Pb14 0.5000 0.5000 0.5000
Pb15 0.6250 0.3750 0.2500
Pb16 0.6250 0.7500 0.3750
Pb17 0.7500 0.3750 0.6250
Pb18 0.7500 0.8750 0.1250
Pb19 0.8750 0.1250 0.7500
Pb20 0.8750 0.2500 0.1250
O1 0.0317 0.2041 0.1248
O2 0.0317 0.3276 0.9069
O3 0.0794 0.7041 0.6724
O4 0.0794 0.8752 0.4069
O5 0.0931 0.6248 0.4206
O6 0.0931 0.9683 0.6724
O7 0.1248 0.0317 0.2041
O8 0.1248 0.5931 0.9206
O9 0.1724 0.2041 0.5794
O10 0.1724 0.4683 0.5931
O11 0.2041 0.1248 0.0317
O12 0.2041 0.5794 0.1724
O13 0.2959 0.3276 0.9206
O14 0.2959 0.4683 0.3752
O15 0.3276 0.9069 0.0317
O16 0.3276 0.9206 0.2959
O17 0.3752 0.2959 0.4683
O18 0.3752 0.5794 0.9069
O19 0.4069 0.0794 0.8752
O20 0.4069 0.8276 0.5317
O21 0.4206 0.0931 0.6248
O22 0.4206 0.8276 0.7959
O23 0.4683 0.3752 0.2959
O24 0.4683 0.5931 0.1724
O25 0.5317 0.4069 0.8276
O26 0.5317 0.6248 0.7041
O27 0.5794 0.1724 0.2041
O28 0.5794 0.9069 0.3752
O29 0.5931 0.1724 0.4683
O30 0.5931 0.9206 0.1248
O31 0.6248 0.4206 0.0931
O32 0.6248 0.7041 0.5317
O33 0.6724 0.0794 0.7041
O34 0.6724 0.0931 0.9683
O35 0.7041 0.5317 0.6248
O36 0.7041 0.6724 0.0794
O37 0.7959 0.4206 0.8276
O38 0.7959 0.8752 0.9683
O39 0.8276 0.5317 0.4069
O40 0.8276 0.7959 0.4206
O41 0.8752 0.4069 0.0794
O42 0.8752 0.9683 0.7959
O43 0.9069 0.0317 0.3276
O44 0.9069 0.3752 0.5794
O45 0.9206 0.1248 0.5931
O46 0.9206 0.2959 0.3276
O47 0.9683 0.6724 0.0931
O48 0.9683 0.7959 0.8752

Q: Which of these has the lowest raw formation energy?
A: Sr3Pb5O12